No. 1
Ba3NaAu: optimized geometry, GGA-PBE.

The calculation puts the spin magnetization at 0.000 μB per atom. For the total energy, the calculation gives -47.57 eV for the cell shown. The value obtained for the formation energy is -0.306 eV/atom.

It has space group C2/m (No. 12), with a = 14.801 Å, b = 6.662 Å, c = 11.155 Å, α = 90.00°, β = 112.47° and γ = 90.00°. The asymmetric unit holds Ba at (0.110, 0.000, 0.213), Ba at (0.132, 0.500, 0.926), Ba at (0.153, 0.000, 0.653), Na at (0.094, 0.500, 0.436) and Au at (0.128, 0.000, 0.928).

No. 2
CdTc3Pd: optimized geometry, GGA-PBE.

The calculation puts the spin magnetization at 0.684 μB per atom. For the total energy, the calculation gives -27.34 eV for the cell shown. The value obtained for the formation energy is 1.974 eV/atom.

It has space group Pm-3m (No. 221), with a = 4.745 Å, b = 4.745 Å, c = 4.745 Å, α = 90.00°, β = 90.00° and γ = 90.00°. The asymmetric unit holds Cd at (0.000, 0.000, 0.000), Tc at (0.000, 0.500, 0.500) and Pd at (0.500, 0.500, 0.500).

No. 3
LiSb2Te: optimized geometry, GGA-PBE.

The calculation puts the spin magnetization at 0.000 μB per atom. For the total energy, the calculation gives -14.28 eV for the cell shown. The calculation puts the formation energy from raw total energies at -245 meV/atom.

It has space group Pm (No. 6), with a = 3.234 Å, b = 4.440 Å, c = 8.468 Å, α = 90.00°, β = 90.10° and γ = 90.00°. The asymmetric unit holds Li at (0.000, 0.000, 0.000), Sb at (0.502, 0.000, 0.307), Sb at (0.505, 0.500, 0.532) and Te at (0.501, 0.500, 0.919).

No. 4
LiErVRu: optimized geometry, GGA-PBE.

The calculation puts the spin magnetization at 0.342 μB per atom. For the total energy, the calculation gives -99.16 eV for the cell shown. The value obtained for the formation energy is 0.020 eV/atom.

It has space group F-43m (No. 216), with a = 6.461 Å, b = 6.461 Å, c = 6.461 Å, α = 90.00°, β = 90.00° and γ = 90.00°. The asymmetric unit holds Li at (0.000, 0.000, 0.000), Er at (0.250, 0.250, 0.750), V at (0.250, 0.250, 0.250) and Ru at (0.000, 0.000, 0.500).